# 1
The following is a PBE-GGA calculation of a geometry-optimized TlPd2Br6 structure, from Alexandria.

Electronic total energy   -26.1 eV per formula unit
Relative energy among the computed polymorphs   0 meV/atom
E_form (uncorrected)   -363 meV/atom
V   308.4 Å³/f.u.

a = 9.306 Å, b = 9.306 Å, c = 8.166 Å
α = 108.66°, β = 108.66°, γ = 96.30°
Sites, in units of the cell vectors:
Tl 0.120 0.880 0.750
Tl 0.880 0.120 0.250
Pd 0.291 0.448 0.871
Pd 0.448 0.291 0.371
Pd 0.552 0.709 0.629
Pd 0.709 0.552 0.129
Br 0.093 0.599 0.858
Br 0.096 0.201 0.667
Br 0.201 0.096 0.167
Br 0.313 0.506 0.412
Br 0.401 0.907 0.642
Br 0.494 0.687 0.088
Br 0.506 0.313 0.912
Br 0.599 0.093 0.358
Br 0.687 0.494 0.588
Br 0.799 0.904 0.833
Br 0.904 0.799 0.333
Br 0.907 0.401 0.142



# 2
The following is a PBE-GGA calculation of a geometry-optimized LiTiZnRh structure, from Alexandria.

Electronic total energy   -20.0 eV per formula unit
V   57.1 Å³/f.u.
Formation enthalpy at 0 K   -0.385 eV per atom

a = 4.323 Å, b = 4.323 Å, c = 4.323 Å
α = 60.00°, β = 60.00°, γ = 60.00°
Sites, in units of the cell vectors:
Li 0.000 0.000 0.000
Ti 0.750 0.750 0.750
Zn 0.250 0.250 0.250
Rh 0.500 0.500 0.500